Record 1
DFT (PBE) results for La2MgSe4 after structural relaxation.

Cell lengths 13.757, 4.209, 14.838 Å; angles 90.00, 90.00, 90.00 degrees
Atoms (fractional coordinates):
La 0.124 0.250 0.072
La 0.128 0.250 0.706
La 0.372 0.750 0.206
La 0.376 0.750 0.572
La 0.624 0.250 0.428
La 0.628 0.250 0.794
La 0.872 0.750 0.294
La 0.876 0.750 0.928
Mg 0.105 0.750 0.468
Mg 0.395 0.250 0.968
Mg 0.605 0.750 0.032
Mg 0.895 0.250 0.532
Se 0.004 0.250 0.386
Se 0.024 0.250 0.886
Se 0.228 0.250 0.515
Se 0.233 0.250 0.243
Se 0.267 0.750 0.743
Se 0.272 0.750 0.015
Se 0.476 0.750 0.386
Se 0.496 0.750 0.886
Se 0.504 0.250 0.114
Se 0.524 0.250 0.614
Se 0.728 0.250 0.985
Se 0.733 0.250 0.257
Se 0.767 0.750 0.757
Se 0.772 0.750 0.485
Se 0.976 0.750 0.114
Se 0.996 0.750 0.614

Properties
Space-group type: No. 62
Energy above the lowest structure with this stoichiometry (eV per atom): 0.058

=====

Record 2
DFT (PBE) results for LaMgSe2 after structural relaxation.

Cell lengths 4.300, 4.010, 11.796 Å; angles 90.00, 90.00, 90.00 degrees
Atoms (fractional coordinates):
La 0.000 0.000 0.000
La 0.000 0.500 0.500
Mg 0.500 0.000 0.767
Mg 0.500 0.500 0.267
Se 0.000 0.000 0.289
Se 0.000 0.500 0.789
Se 0.500 0.000 0.548
Se 0.500 0.500 0.048

Properties
Electronic total energy (eV for the cell shown): -39.097
Space-group type: No. 38

=====

Record 3
DFT (PBE) results for La2MgSe after structural relaxation.

Cell lengths 7.676, 7.676, 7.676 Å; angles 90.00, 90.00, 90.00 degrees
Atoms (fractional coordinates):
La 0.250 0.250 0.250
La 0.250 0.250 0.750
La 0.250 0.750 0.250
La 0.250 0.750 0.750
La 0.750 0.250 0.250
La 0.750 0.250 0.750
La 0.750 0.750 0.250
La 0.750 0.750 0.750
Mg 0.000 0.000 0.000
Mg 0.000 0.500 0.500
Mg 0.500 0.000 0.500
Mg 0.500 0.500 0.000
Se 0.000 0.000 0.500
Se 0.000 0.500 0.000
Se 0.500 0.000 0.000
Se 0.500 0.500 0.500

Properties
Space-group type: No. 225
Energy above the lowest structure with this stoichiometry (eV per atom): 0.305

=====

Record 4
DFT (PBE) results for LaMgSe after structural relaxation.

Cell lengths 8.569, 8.569, 8.569 Å; angles 34.77, 34.77, 34.77 degrees
Atoms (fractional coordinates):
La 0.089 0.089 0.089
La 0.911 0.911 0.911
Mg 0.329 0.329 0.329
Mg 0.671 0.671 0.671
Se 0.216 0.216 0.216
Se 0.784 0.784 0.784

Properties
Space-group type: No. 166
Energy above the lowest structure with this stoichiometry (eV per atom): 0.000

=====

Record 5
DFT (PBE) results for La2MgSe after structural relaxation.

Cell lengths 4.228, 4.228, 24.985 Å; angles 90.00, 90.00, 120.00 degrees
Atoms (fractional coordinates):
La 0.000 0.000 0.237
La 0.000 0.000 0.763
La 0.333 0.667 0.429
La 0.333 0.667 0.904
La 0.667 0.333 0.096
La 0.667 0.333 0.571
Mg 0.000 0.000 0.000
Mg 0.333 0.667 0.667
Mg 0.667 0.333 0.333
Se 0.000 0.000 0.500
Se 0.333 0.667 0.167
Se 0.667 0.333 0.833

Properties
Space-group type: No. 166
Energy above the lowest structure with this stoichiometry (eV per atom): 0.000

=====

Record 6
DFT (PBE) results for La3MgSe after structural relaxation.

Cell lengths 5.716, 5.716, 5.716 Å; angles 90.00, 90.00, 90.00 degrees
Atoms (fractional coordinates):
La 0.000 0.000 0.500
La 0.000 0.500 0.000
La 0.500 0.000 0.000
Mg 0.500 0.500 0.500
Se 0.000 0.000 0.000

Properties
Space-group type: No. 221
Energy above the lowest structure with this stoichiometry (eV per atom): 0.000

=====

Record 7
DFT (PBE) results for La2MgSe4 after structural relaxation.

Cell lengths 7.796, 7.796, 7.796 Å; angles 111.14, 111.14, 106.18 degrees
Atoms (fractional coordinates):
La 0.006 0.625 0.881
La 0.375 0.256 0.381
La 0.744 0.125 0.119
La 0.875 0.994 0.619
Mg 0.250 0.750 0.500
Mg 0.500 0.500 0.000
Se 0.006 0.875 0.268
Se 0.125 0.392 0.130
Se 0.142 0.375 0.630
Se 0.262 0.994 0.870
Se 0.488 0.858 0.232
Se 0.608 0.738 0.732
Se 0.625 0.256 0.768
Se 0.744 0.512 0.370

Properties
Space-group type: No. 122
Energy above the lowest structure with this stoichiometry (eV per atom): 0.027

=====

Record 8
DFT (PBE) results for La2MgSe after structural relaxation.

Cell lengths 7.595, 7.595, 7.595 Å; angles 90.00, 90.00, 90.00 degrees
Atoms (fractional coordinates):
La 0.000 0.000 0.000
La 0.000 0.500 0.500
La 0.250 0.250 0.250
La 0.250 0.750 0.750
La 0.500 0.000 0.500
La 0.500 0.500 0.000
La 0.750 0.250 0.750
La 0.750 0.750 0.250
Mg 0.000 0.000 0.500
Mg 0.000 0.500 0.000
Mg 0.500 0.000 0.000
Mg 0.500 0.500 0.500
Se 0.250 0.250 0.750
Se 0.250 0.750 0.250
Se 0.750 0.250 0.250
Se 0.750 0.750 0.750

Properties
Space-group type: No. 216
Energy above the lowest structure with this stoichiometry (eV per atom): 0.693

=====

Record 9
DFT (PBE) results for LaMgSe after structural relaxation.

Cell lengths 3.652, 3.652, 12.023 Å; angles 90.00, 90.00, 90.00 degrees
Atoms (fractional coordinates):
La 0.000 0.000 0.000
La 0.500 0.500 0.500
Mg 0.000 0.000 0.285
Mg 0.500 0.500 0.785
Se 0.000 0.000 0.645
Se 0.500 0.500 0.145

Properties
Space-group type: No. 107
Energy above the lowest structure with this stoichiometry (eV per atom): 0.234

=====

Record 10
DFT (PBE) results for LaMgSe2 after structural relaxation.

Cell lengths 3.829, 3.923, 13.641 Å; angles 90.00, 90.00, 90.00 degrees
Atoms (fractional coordinates):
La 0.000 0.000 0.000
La 0.500 0.500 0.500
Mg 0.000 0.500 0.737
Mg 0.500 0.000 0.237
Se 0.000 0.000 0.402
Se 0.000 0.500 0.172
Se 0.500 0.000 0.672
Se 0.500 0.500 0.902

Properties
Electronic total energy (eV for the cell shown): -37.991
Space-group type: No. 44

=====

Record 11
DFT (PBE) results for LaMgSe2 after structural relaxation.

Cell lengths 6.555, 6.555, 12.235 Å; angles 90.00, 90.00, 90.00 degrees
Atoms (fractional coordinates):
La 0.000 0.000 0.000
La 0.000 0.500 0.250
La 0.500 0.000 0.750
La 0.500 0.500 0.500
Mg 0.000 0.000 0.500
Mg 0.000 0.500 0.750
Mg 0.500 0.000 0.250
Mg 0.500 0.500 0.000
Se 0.204 0.250 0.625
Se 0.250 0.704 0.875
Se 0.250 0.796 0.375
Se 0.296 0.250 0.125
Se 0.704 0.750 0.125
Se 0.750 0.204 0.375
Se 0.750 0.296 0.875
Se 0.796 0.750 0.625

Properties
Electronic total energy (eV for the cell shown): -73.711
Space-group type: No. 122

=====

Record 12
DFT (PBE) results for La5MgSe8 after structural relaxation.

Cell lengths 7.843, 7.843, 7.843 Å; angles 110.12, 110.12, 108.18 degrees
Atoms (fractional coordinates):
La 0.000 0.000 0.000
La 0.254 0.130 0.616
La 0.362 0.746 0.876
La 0.514 0.638 0.384
La 0.870 0.486 0.124
Mg 0.750 0.250 0.500
Se 0.100 0.355 0.869
Se 0.143 0.384 0.402
Se 0.258 0.857 0.241
Se 0.485 0.231 0.131
Se 0.616 0.018 0.759
Se 0.645 0.515 0.746
Se 0.769 0.900 0.254
Se 0.982 0.742 0.598

Properties
Electronic total energy (eV for the cell shown): -80.436
Space-group type: No. 82

=====

Record 13
DFT (PBE) results for LaMg3Se after structural relaxation.

Cell lengths 6.183, 6.183, 6.183 Å; angles 90.00, 90.00, 90.00 degrees
Atoms (fractional coordinates):
La 0.000 0.000 0.000
Mg 0.000 0.000 0.500
Mg 0.000 0.500 0.000
Mg 0.500 0.000 0.000
Se 0.500 0.500 0.500

Properties
Space-group type: No. 221
Energy above the lowest structure with this stoichiometry (eV per atom): 1.126

=====

Record 14
DFT (PBE) results for LaMgSe after structural relaxation.

Cell lengths 3.972, 3.972, 6.488 Å; angles 90.00, 90.00, 120.00 degrees
Atoms (fractional coordinates):
La 0.000 0.000 0.000
Mg 0.667 0.333 0.445
Se 0.333 0.667 0.690

Properties
Space-group type: No. 156
Energy above the lowest structure with this stoichiometry (eV per atom): 0.222

=====

Record 15
DFT (PBE) results for LaMgSe2 after structural relaxation.

Cell lengths 3.656, 3.656, 7.104 Å; angles 90.00, 90.00, 90.00 degrees
Atoms (fractional coordinates):
La 0.000 0.000 0.000
Mg 0.000 0.000 0.500
Se 0.500 0.500 0.257
Se 0.500 0.500 0.743

Properties
Electronic total energy (eV for the cell shown): -18.561
Space-group type: No. 123

=====

Record 16
DFT (PBE) results for La2TbMgSe5 after structural relaxation.

Cell lengths 9.041, 9.041, 12.801 Å; angles 90.00, 90.00, 153.34 degrees
Atoms (fractional coordinates):
La 0.112 0.888 0.500
La 0.136 0.864 0.116
La 0.864 0.136 0.616
La 0.888 0.112 0.000
Tb 0.205 0.795 0.822
Tb 0.795 0.205 0.322
Mg 0.469 0.531 0.272
Mg 0.531 0.469 0.772
Se 0.049 0.951 0.880
Se 0.285 0.715 0.479
Se 0.316 0.684 0.169
Se 0.367 0.633 0.813
Se 0.493 0.507 0.584
Se 0.507 0.493 0.084
Se 0.633 0.367 0.313
Se 0.684 0.316 0.669
Se 0.715 0.285 0.979
Se 0.951 0.049 0.380

Properties
Electronic total energy (eV for the cell shown): -99.286
Space-group type: No. 36

=====

Record 17
DFT (PBE) results for La2TmMgSe5 after structural relaxation.

Cell lengths 9.016, 9.016, 12.775 Å; angles 90.00, 90.00, 153.45 degrees
Atoms (fractional coordinates):
La 0.111 0.889 0.500
La 0.136 0.864 0.121
La 0.864 0.136 0.621
La 0.889 0.111 0.000
Tm 0.206 0.794 0.827
Tm 0.794 0.206 0.327
Mg 0.463 0.537 0.272
Mg 0.537 0.463 0.772
Se 0.051 0.949 0.881
Se 0.284 0.716 0.480
Se 0.315 0.685 0.175
Se 0.365 0.635 0.815
Se 0.493 0.507 0.586
Se 0.507 0.493 0.086
Se 0.635 0.365 0.315
Se 0.685 0.315 0.675
Se 0.716 0.284 0.980
Se 0.949 0.051 0.381

Properties
Electronic total energy (eV for the cell shown): -98.837
Space-group type: No. 36

=====

Record 18
DFT (PBE) results for LaYMgSe2 after structural relaxation.

Cell lengths 5.157, 5.157, 5.381 Å; angles 90.00, 90.00, 90.00 degrees
Atoms (fractional coordinates):
La 0.000 0.000 0.000
Y 0.500 0.500 0.000
Mg 0.500 0.500 0.500
Se 0.000 0.500 0.500
Se 0.500 0.000 0.500

Properties
Electronic total energy (eV for the cell shown): -21.135
Space-group type: No. 123

=====

Record 19
DFT (PBE) results for LaMgZnSe2 after structural relaxation.

Cell lengths 5.719, 5.719, 5.972 Å; angles 90.00, 90.00, 90.00 degrees
Atoms (fractional coordinates):
La 0.000 0.000 0.000
Mg 0.500 0.500 0.500
Zn 0.000 0.000 0.500
Se 0.000 0.500 0.000
Se 0.500 0.000 0.000

Properties
Electronic total energy (eV for the cell shown): -15.802
Space-group type: No. 123

=====

Record 20
DFT (PBE) results for La2MgSi2 after structural relaxation.

Cell lengths 7.522, 7.522, 4.471 Å; angles 90.00, 90.00, 90.00 degrees
Atoms (fractional coordinates):
La 0.180 0.320 0.000
La 0.320 0.820 0.000
La 0.680 0.180 0.000
La 0.820 0.680 0.000
Mg 0.000 0.000 0.500
Mg 0.500 0.500 0.500
Si 0.114 0.614 0.500
Si 0.386 0.114 0.500
Si 0.614 0.886 0.500
Si 0.886 0.386 0.500

Properties
Electronic total energy (eV for the cell shown): -51.285
Space-group type: No. 127

=====

Record 21
DFT (PBE) results for La2MgSi after structural relaxation.

Cell lengths 3.951, 3.965, 7.156 Å; angles 90.00, 90.00, 90.00 degrees
Atoms (fractional coordinates):
La 0.000 0.000 0.212
La 0.000 0.000 0.788
Mg 0.500 0.500 0.500
Si 0.500 0.500 0.000

Properties
Electronic total energy (eV for the cell shown): -18.308
Space-group type: No. 47

=====

Record 22
DFT (PBE) results for LaMg6Si after structural relaxation.

Cell lengths 4.901, 5.918, 13.409 Å; angles 90.00, 90.00, 90.00 degrees
Atoms (fractional coordinates):
La 0.000 0.000 0.000
La 0.000 0.500 0.500
Mg 0.000 0.246 0.743
Mg 0.000 0.254 0.243
Mg 0.000 0.746 0.243
Mg 0.000 0.754 0.743
Mg 0.500 0.000 0.165
Mg 0.500 0.000 0.588
Mg 0.500 0.249 0.375
Mg 0.500 0.251 0.875
Mg 0.500 0.500 0.088
Mg 0.500 0.500 0.665
Mg 0.500 0.749 0.875
Mg 0.500 0.751 0.375
Si 0.000 0.000 0.431
Si 0.000 0.500 0.931

Properties
Space-group type: No. 38
Energy above the lowest structure with this stoichiometry (eV per atom): 0.000

=====

Record 23
DFT (PBE) results for LaMg6Si after structural relaxation.

Cell lengths 4.639, 6.292, 13.222 Å; angles 90.00, 90.00, 90.00 degrees
Atoms (fractional coordinates):
La 0.000 0.000 0.000
La 0.000 0.500 0.500
Mg 0.000 0.000 0.566
Mg 0.000 0.241 0.280
Mg 0.000 0.259 0.780
Mg 0.000 0.500 0.066
Mg 0.000 0.741 0.780
Mg 0.000 0.759 0.280
Mg 0.500 0.000 0.412
Mg 0.500 0.244 0.147
Mg 0.500 0.256 0.647
Mg 0.500 0.500 0.912
Mg 0.500 0.744 0.647
Mg 0.500 0.756 0.147
Si 0.500 0.000 0.835
Si 0.500 0.500 0.335

Properties
Space-group type: No. 38
Energy above the lowest structure with this stoichiometry (eV per atom): 0.015

=====

Record 24
DFT (PBE) results for LaMgSi2 after structural relaxation.

Cell lengths 4.863, 4.863, 17.254 Å; angles 90.00, 90.00, 90.00 degrees
Atoms (fractional coordinates):
La 0.000 0.000 0.000
La 0.000 0.500 0.250
La 0.500 0.000 0.750
La 0.500 0.500 0.500
Mg 0.000 0.000 0.500
Mg 0.000 0.500 0.750
Mg 0.500 0.000 0.250
Mg 0.500 0.500 0.000
Si 0.109 0.250 0.625
Si 0.250 0.609 0.875
Si 0.250 0.891 0.375
Si 0.391 0.250 0.125
Si 0.609 0.750 0.125
Si 0.750 0.109 0.375
Si 0.750 0.391 0.875
Si 0.891 0.750 0.625

Properties
Electronic total energy (eV for the cell shown): -70.695
Space-group type: No. 122

=====

no.,magnetic moment (μB per formula unit),density of states at the Fermi level (states/eV per cell),calculated volume (Å³/cell)
1,0.00,0.00,859.2
2,0.00,1.97,203.4
3,0.00,24.00,452.3
4,0.00,1.95,182.7
5,0.00,10.67,386.9
6,0.00,4.87,186.8
7,0.00,0.00,363.9
8,0.00,24.99,438.1
9,0.02,5.50,160.4
10,0.37,4.40,204.9
11,0.94,12.61,525.7
12,0.00,5.73,371.2
13,0.00,5.68,236.3
14,0.89,1.24,88.6
15,0.00,2.33,95.0
16,0.00,4.55,469.5
17,0.00,4.65,464.2
18,1.48,4.40,143.1
19,0.94,3.60,195.3
20,0.00,4.46,253.0
21,0.00,3.09,112.1
22,0.00,9.31,388.9
23,0.00,9.70,386.0
24,0.00,4.97,408.1